[1]
# MoWSeBr2, optimized geometry, DFT PBE
data_MoWSeBr2
_cell_length_a 5.1519
_cell_length_b 5.1519
_cell_length_c 5.0054
_cell_angle_alpha 90.00
_cell_angle_beta 90.00
_cell_angle_gamma 90.00
_space_group_name_H-M_alt 'P 4/m m m'
_space_group_IT_number 123
_space_group_name_Hall '-P 4 2'
loop_
_atom_site_label
_atom_site_type_symbol
_atom_site_fract_x
_atom_site_fract_y
_atom_site_fract_z
_atom_site_occupancy
Mo1 Mo 0.0000 0.0000 0.0000 1
W1 W 0.5000 0.5000 0.5000 1
Se1 Se 0.0000 0.0000 0.5000 1
Br1 Br 0.0000 0.5000 0.0000 1
# E_form (uncorrected)   1.28 eV/atom
# Distance to the lowest polymorph of the same formula   227.6 meV/atom
# Magnetic moment   7.0 μB/cell

[2]
# MoWSe2Br, optimized geometry, DFT PBE
data_MoWSe2Br
_cell_length_a 4.9146
_cell_length_b 4.9146
_cell_length_c 5.2590
_cell_angle_alpha 90.00
_cell_angle_beta 90.00
_cell_angle_gamma 90.00
_space_group_name_H-M_alt 'P 4/m m m'
_space_group_IT_number 123
_space_group_name_Hall '-P 4 2'
loop_
_atom_site_label
_atom_site_type_symbol
_atom_site_fract_x
_atom_site_fract_y
_atom_site_fract_z
_atom_site_occupancy
Mo1 Mo 0.0000 0.0000 0.0000 1
W1 W 0.5000 0.5000 0.5000 1
Se1 Se 0.0000 0.5000 0.5000 1
Br1 Br 0.5000 0.5000 0.0000 1
# E_form (uncorrected)   0.97 eV/atom
# Distance to the lowest polymorph of the same formula   0.0 meV/atom
# Magnetic moment   5.3 μB/cell